# CsZr3Tc

CsZr3Tc after structural relaxation (GGA-PBEsol, Alexandria).

Results
As for the formation energy: 0.735 eV/atom.

Unit cell a=5.1451 b=5.1451 c=5.1451 alpha=90.00 beta=90.00 gamma=90.00
Last column: nearest neighbours and their distance in Å.
Space group Pm-3m (No. 221)
Unique sites:
1 Cs 0.0000 0.0000 0.0000 x1  12 Zr 3.64
2 Zr 0.0000 0.5000 0.5000 x3  2 Tc 2.57
3 Tc 0.5000 0.5000 0.5000 x1  6 Zr 2.57

=====

# CaCo2Si2

CaCo2Si2 after structural relaxation (GGA-PBEsol, Alexandria).

Results
For the total energy, the calculation gives -6.219 eV/atom.

Unit cell a=7.0458 b=7.0458 c=2.6029 alpha=90.00 beta=90.00 gamma=90.00
Last column: nearest neighbours and their distance in Å.
Space group P4/mbm (No. 127)
Unique sites:
1 Ca 0.0000 0.0000 0.0000 x2  2 Ca 2.60, 4 Co 2.73
2 Co 0.1372 0.3628 0.0000 x4  6 Si 2.40-2.49, 2 Co 2.60
3 Si 0.1493 0.6493 0.5000 x4  6 Co 2.40-2.49, 2 Si 2.60

=====

# CoRe2Ag2

CoRe2Ag2 after structural relaxation (GGA-PBEsol, Alexandria).

Results
As for the formation energy: 1.111 eV/atom.

Unit cell a=3.4605 b=3.4605 c=14.0742 alpha=90.00 beta=90.00 gamma=90.00
Last column: nearest neighbours and their distance in Å.
Space group I4/mmm (No. 139)
Unique sites:
1 Co 0.0000 0.0000 0.0000 x2  8 Ag 2.77
2 Re 0.0000 0.5000 0.2500 x4  4 Re 2.45
3 Ag 0.0000 0.0000 0.4070 x4  1 Ag 2.62, 4 Co 2.77, 4 Re 2.81

=====

# CuRhW

CuRhW after structural relaxation (GGA-PBEsol, Alexandria).

Results
As for the formation energy: 0.071 eV/atom.

Unit cell a=2.7619 b=2.7619 c=10.6531 alpha=90.00 beta=90.00 gamma=90.00
Last column: nearest neighbours and their distance in Å.
Space group I4mm (No. 107)
Unique sites:
1 Cu 0.0000 0.0000 0.0000 x2  4 Rh 2.61, 4 W 2.65, 4 Cu 2.76
2 Rh 0.0000 0.0000 0.6628 x2  4 Cu 2.61, 4 W 2.65, 4 Rh 2.76
3 W 0.0000 0.0000 0.3316 x2  4 Cu 2.65, 4 Rh 2.65, 4 W 2.76